P:
VASP calculation (PBE-GGA) on YErSi2Os after structural relaxation.

Cell: 5.733 5.733 9.954 Å, 116.71 116.71 43.16°
Sites, in units of the cell vectors:
1 Y 0.010 0.010 0.180
2 Y 0.990 0.990 0.820
3 Er 0.184 0.184 0.610
4 Er 0.816 0.816 0.390
5 Si 0.355 0.355 0.939
6 Si 0.497 0.497 0.624
7 Si 0.503 0.503 0.376
8 Si 0.645 0.645 0.061
9 Os 0.271 0.271 0.128
10 Os 0.729 0.729 0.872

SG	No. 12



Q:
VASP calculation (PBE-GGA) on YErSi2Os after structural relaxation.

Cell: 5.699 5.699 9.966 Å, 116.43 116.43 43.45°
Sites, in units of the cell vectors:
1 Y 0.186 0.186 0.110
2 Y 0.814 0.814 0.890
3 Er 0.007 0.007 0.677
4 Er 0.993 0.993 0.323
5 Si 0.357 0.357 0.440
6 Si 0.496 0.496 0.126
7 Si 0.504 0.504 0.874
8 Si 0.643 0.643 0.560
9 Os 0.269 0.269 0.626
10 Os 0.731 0.731 0.374

SG	No. 12



The most stable arrangement is Q, and the next structure is 0.016 eV/atom less stable.



P:
VASP calculation (PBE-GGA) on Er3Tm3Te2Os after structural relaxation.

Cell: 4.031 8.181 8.181 Å, 119.62 90.00 90.00°
Sites, in units of the cell vectors:
1 Er 0.000 0.000 0.000
2 Er 0.000 0.390 0.776
3 Er 0.000 0.776 0.390
4 Tm 0.500 0.151 0.388
5 Tm 0.500 0.388 0.151
6 Tm 0.500 0.630 0.630
7 Te 0.500 0.057 0.723
8 Te 0.500 0.723 0.057
9 Os 0.000 0.395 0.395

SG	No. 38



Q:
VASP calculation (PBE-GGA) on Er3Tm3Te2Os after structural relaxation.

Cell: 8.207 8.207 4.022 Å, 90.00 90.00 120.00°
Sites, in units of the cell vectors:
1 Er 0.000 0.240 0.000
2 Er 0.240 0.000 0.000
3 Er 0.760 0.760 0.000
4 Tm 0.000 0.613 0.500
5 Tm 0.387 0.387 0.500
6 Tm 0.613 0.000 0.500
7 Te 0.333 0.667 0.000
8 Te 0.667 0.333 0.000
9 Os 0.000 0.000 0.500

SG	No. 189



The most stable arrangement is P, and the next structure is 0.020 eV/atom less stable.



P:
VASP calculation (PBE-GGA) on Er3P2S after structural relaxation.

Cell: 3.938 5.555 11.796 Å, 90.00 90.00 90.00°
Sites, in units of the cell vectors:
1 Er 0.000 0.000 0.000
2 Er 0.000 0.000 0.329
3 Er 0.000 0.000 0.671
4 Er 0.500 0.500 0.171
5 Er 0.500 0.500 0.500
6 Er 0.500 0.500 0.829
7 P 0.000 0.500 0.334
8 P 0.000 0.500 0.666
9 P 0.500 0.000 0.166
10 P 0.500 0.000 0.834
11 S 0.000 0.500 0.000
12 S 0.500 0.000 0.500

SG	No. 71



Q:
VASP calculation (PBE-GGA) on Er3P2S after structural relaxation.

Cell: 3.940 3.940 9.636 Å, 90.00 90.00 120.00°
Sites, in units of the cell vectors:
1 Er 0.000 0.000 0.000
2 Er 0.333 0.667 0.675
3 Er 0.667 0.333 0.325
4 P 0.333 0.667 0.169
5 P 0.667 0.333 0.831
6 S 0.000 0.000 0.500

SG	No. 164



The most stable arrangement is P, and the next structure is 0.012 eV/atom less stable.



P:
VASP calculation (PBE-GGA) on TbEr2P3 after structural relaxation.

Cell: 3.988 3.988 9.758 Å, 90.00 90.00 120.00°
Sites, in units of the cell vectors:
1 Tb 0.000 0.000 0.000
2 Er 0.333 0.667 0.335
3 Er 0.667 0.333 0.665
4 P 0.000 0.000 0.500
5 P 0.333 0.667 0.830
6 P 0.667 0.333 0.170

SG	No. 164



Q:
VASP calculation (PBE-GGA) on TbEr2P3 after structural relaxation.

Cell: 6.679 6.679 3.772 Å, 90.00 90.00 120.00°
Sites, in units of the cell vectors:
1 Tb 0.000 0.000 0.000
2 Er 0.333 0.667 0.000
3 Er 0.667 0.333 0.000
4 P 0.000 0.500 0.500
5 P 0.500 0.000 0.500
6 P 0.500 0.500 0.500

SG	No. 191



The most stable arrangement is P, and the next structure is 0.908 eV/atom less stable.



P:
VASP calculation (PBE-GGA) on ErThPb after structural relaxation.

Cell: 7.409 7.409 7.409 Å, 90.00 90.00 90.00°
Sites, in units of the cell vectors:
1 Er 0.000 0.000 0.000
2 Er 0.000 0.500 0.500
3 Er 0.500 0.000 0.500
4 Er 0.500 0.500 0.000
5 Th 0.000 0.000 0.500
6 Th 0.000 0.500 0.000
7 Th 0.500 0.000 0.000
8 Th 0.500 0.500 0.500
9 Pb 0.250 0.250 0.250
10 Pb 0.250 0.750 0.750
11 Pb 0.750 0.250 0.750
12 Pb 0.750 0.750 0.250

SG	No. 216



Q:
VASP calculation (PBE-GGA) on ErThPb after structural relaxation.

Cell: 5.438 5.438 10.419 Å, 90.00 90.00 120.00°
Sites, in units of the cell vectors:
1 Er 0.000 0.000 0.000
2 Er 0.667 0.333 0.312
3 Er 0.667 0.333 0.688
4 Th 0.333 0.667 0.160
5 Th 0.333 0.667 0.500
6 Th 0.333 0.667 0.840
7 Pb 0.000 0.000 0.324
8 Pb 0.000 0.000 0.676
9 Pb 0.667 0.333 0.000

SG	No. 187



The most stable arrangement is Q, and the next structure is 0.283 eV/atom less stable.



P:
VASP calculation (PBE-GGA) on ErUPb after structural relaxation.

Cell: 9.422 9.422 3.282 Å, 90.00 90.00 120.00°
Sites, in units of the cell vectors:
1 Er 0.000 0.666 0.000
2 Er 0.334 0.334 0.000
3 Er 0.666 0.000 0.000
4 U 0.000 0.331 0.500
5 U 0.331 0.000 0.500
6 U 0.669 0.669 0.500
7 Pb 0.000 0.000 0.000
8 Pb 0.333 0.667 0.000
9 Pb 0.667 0.333 0.000

SG	No. 189



Q:
VASP calculation (PBE-GGA) on ErUPb after structural relaxation.

Cell: 7.361 7.361 7.361 Å, 90.00 90.00 90.00°
Sites, in units of the cell vectors:
1 Er 0.000 0.000 0.000
2 Er 0.000 0.500 0.500
3 Er 0.500 0.000 0.500
4 Er 0.500 0.500 0.000
5 U 0.000 0.000 0.500
6 U 0.000 0.500 0.000
7 U 0.500 0.000 0.000
8 U 0.500 0.500 0.500
9 Pb 0.250 0.250 0.250
10 Pb 0.250 0.750 0.750
11 Pb 0.750 0.250 0.750
12 Pb 0.750 0.750 0.250

SG	No. 216



The most stable arrangement is P, and the next structure is 0.248 eV/atom less stable.